Entry 1:
Below is a geometry-optimized In2OsPb structure, with properties calculated at the PBE level.

Cell lengths 10.5520, 10.5520, 10.5520 Å; angles 17.74, 17.74, 17.74 degrees
Sites, in units of the cell vectors:
In: 0.2367 0.2367 0.2367
Pb: 0.7683 0.7683 0.7683
In: 0.9910 0.9910 0.9910
Os: 0.5040 0.5040 0.5040

Properties
The value obtained for the density of states at the Fermi level is 2.413 states/eV per cell. As for the formation energy: 0.485 eV/atom. Its total energy is -4.619 eV per atom.



Entry 2:
Below is a geometry-optimized Nd3Zn2SiPd9 structure, with properties calculated at the PBE level.

Cell lengths 6.5328, 6.5328, 8.4726 Å; angles 90.00, 90.00, 120.00 degrees
Sites, in units of the cell vectors:
Pd: 0.5000 0.0000 0.0000
Nd: 0.6667 0.3333 0.3030
Pd: 0.7173 0.8587 0.2987
Pd: 0.1413 0.2827 0.2987
Pd: 0.0000 0.5000 0.0000
Nd: 0.0000 0.0000 0.0000
Zn: 0.6667 0.3333 0.8127
Nd: 0.3333 0.6667 0.6970
Pd: 0.1413 0.8587 0.2987
Pd: 0.5000 0.5000 0.0000
Pd: 0.8587 0.1413 0.7013
Si: 0.0000 0.0000 0.5000
Pd: 0.2827 0.1413 0.7013
Zn: 0.3333 0.6667 0.1873
Pd: 0.8587 0.7173 0.7013

Properties
The value obtained for the density of states at the Fermi level is 7.454 states/eV per cell. For the energy relative to the elements, uncorrected, the calculation gives -0.484 eV/atom. Its total energy is -5.085 eV per atom.



Entry 3:
Below is a geometry-optimized K2SrZn structure, with properties calculated at the PBE level.

Cell lengths 7.6258, 7.6258, 7.6258 Å; angles 139.89, 139.89, 58.02 degrees
Sites, in units of the cell vectors:
Zn: 0.7500 0.2500 0.5000
K: 0.0000 0.0000 0.0000
Sr: 0.2500 0.7500 0.5000
K: 0.5000 0.5000 0.0000

Properties
The value obtained for the density of states at the Fermi level is 3.369 states/eV per cell. As for the formation energy: 0.182 eV/atom. Its total energy is -1.105 eV per atom.



Entry 4:
Below is a geometry-optimized PmMgCrN3 structure, with properties calculated at the PBE level.

Cell lengths 3.3441, 7.0684, 7.2020 Å; angles 104.19, 90.00, 90.00 degrees
Sites, in units of the cell vectors:
N: 0.2500 0.5726 0.8369
Pm: 0.7500 0.7827 0.7951
Mg: 0.2500 0.6292 0.1437
Mg: 0.7500 0.3708 0.8563
N: 0.2500 0.1095 0.8480
Cr: 0.2500 0.0942 0.6074
N: 0.7500 0.4274 0.1631
N: 0.7500 0.8905 0.1520
N: 0.7500 0.1751 0.5237
N: 0.2500 0.8249 0.4763
Cr: 0.7500 0.9058 0.3926
Pm: 0.2500 0.2173 0.2049

Properties
The value obtained for the density of states at the Fermi level is 4.729 states/eV per cell. For the energy relative to the elements, uncorrected, the calculation gives -0.772 eV/atom. Its total energy is -7.596 eV per atom.



Entry 5:
Below is a geometry-optimized ZrGeSbTe2 structure, with properties calculated at the PBE level.

Cell lengths 5.5413, 5.5413, 5.6312 Å; angles 90.00, 90.00, 90.00 degrees
Sites, in units of the cell vectors:
Ge: 0.5000 0.5000 0.5000
Sb: 0.0000 0.0000 0.5000
Te: 0.0000 0.5000 0.0000
Zr: 0.0000 0.0000 0.0000
Te: 0.5000 0.0000 0.0000

Properties
As for the polymorph energy (0 for the lowest one): 0.0000 eV/atom. The value obtained for the density of states at the Fermi level is 3.718 states/eV per cell. For the energy relative to the elements, uncorrected, the calculation gives 0.276 eV/atom. Its total energy is -4.438 eV per atom.



Entry 6:
Below is a geometry-optimized SiSb2Te structure, with properties calculated at the PBE level.

Cell lengths 5.2886, 5.2886, 3.5864 Å; angles 90.00, 90.00, 90.00 degrees
Sites, in units of the cell vectors:
Sb: 0.5000 0.5000 0.0000
Si: 0.5000 0.0000 0.5000
Te: 0.0000 0.5000 0.5000
Sb: 0.0000 0.0000 0.0000

Properties
As for the polymorph energy (0 for the lowest one): 0.3497 eV/atom. The value obtained for the density of states at the Fermi level is 1.550 states/eV per cell. For the energy relative to the elements, uncorrected, the calculation gives 0.434 eV/atom. Its total energy is -3.768 eV per atom.